[1]
# In3MoW PBE optimized geometry
# crystal system	cubic
data_In3MoW
_cell_length_a 5.261
_cell_length_b 5.261
_cell_length_c 5.261
_cell_angle_alpha 90.00
_cell_angle_beta 90.00
_cell_angle_gamma 90.00
_symmetry_space_group_name_H-M 'P m -3 m'
_symmetry_Int_Tables_number 221
_symmetry_space_group_name_Hall '-P 4 2 3'
loop_
_atom_site_label
_atom_site_fract_x
_atom_site_fract_y
_atom_site_fract_z
In1 0.000 0.000 0.500
Mo1 0.500 0.500 0.500
W1 0.000 0.000 0.000


[2]
# InMo2W PBE optimized geometry
# crystal system	monoclinic
data_InMo2W
_cell_length_a 2.796
_cell_length_b 4.422
_cell_length_c 5.700
_cell_angle_alpha 90.00
_cell_angle_beta 104.16
_cell_angle_gamma 90.00
_symmetry_space_group_name_H-M 'P 1 2/m 1'
_symmetry_Int_Tables_number 10
loop_
_symmetry_equiv_pos_as_xyz
'x,y,z'
'-x,-y,-z'
'-x,y,-z'
'x,-y,z'
loop_
_atom_site_label
_atom_site_fract_x
_atom_site_fract_y
_atom_site_fract_z
In1 0.000 0.000 0.000
Mo1 0.447 0.500 0.740
W1 0.000 0.000 0.500


[3]
# InMoW PBE optimized geometry
# energy above the most stable polymorph in this dataset	0.676	eV/atom
# crystal system	cubic
data_InMoW
_cell_length_a 6.293
_cell_length_b 6.293
_cell_length_c 6.293
_cell_angle_alpha 90.00
_cell_angle_beta 90.00
_cell_angle_gamma 90.00
_symmetry_space_group_name_H-M 'F -4 3 m'
_symmetry_Int_Tables_number 216
_symmetry_space_group_name_Hall 'F -4 2 3'
loop_
_atom_site_label
_atom_site_fract_x
_atom_site_fract_y
_atom_site_fract_z
In1 0.000 0.000 0.000
Mo1 0.250 0.250 0.750
W1 0.000 0.000 0.500


[4]
# InMo2W PBE optimized geometry
# crystal system	tetragonal
data_InMo2W
_cell_length_a 7.471
_cell_length_b 7.471
_cell_length_c 5.532
_cell_angle_alpha 90.00
_cell_angle_beta 90.00
_cell_angle_gamma 90.00
_symmetry_space_group_name_H-M 'I -4 2 d'
_symmetry_Int_Tables_number 122
_symmetry_space_group_name_Hall 'I -4 2bw'
loop_
_atom_site_label
_atom_site_fract_x
_atom_site_fract_y
_atom_site_fract_z
In1 0.000 0.000 0.000
Mo1 0.204 0.250 0.625
W1 0.000 0.000 0.500


[5]
# InMoW PBE optimized geometry
# energy above the most stable polymorph in this dataset	0.065	eV/atom
# crystal system	orthorhombic
data_InMoW
_cell_length_a 3.226
_cell_length_b 4.791
_cell_length_c 13.874
_cell_angle_alpha 90.00
_cell_angle_beta 90.00
_cell_angle_gamma 90.00
_symmetry_space_group_name_H-M 'F m m 2'
_symmetry_Int_Tables_number 42
_symmetry_space_group_name_Hall 'F 2 -2'
loop_
_atom_site_label
_atom_site_fract_x
_atom_site_fract_y
_atom_site_fract_z
In1 0.000 0.000 0.000
Mo1 0.000 0.000 0.325
W1 0.000 0.000 0.677


[6]
# InMoW PBE optimized geometry
# energy above the most stable polymorph in this dataset	0.073	eV/atom
# crystal system	trigonal
data_InMoW
_cell_length_a 4.6173
_cell_length_b 4.6173
_cell_length_c 2.8298
_cell_angle_alpha 90.00
_cell_angle_beta 90.00
_cell_angle_gamma 120.00
_symmetry_space_group_name_H-M 'P 3 m 1'
_symmetry_Int_Tables_number 156
loop_
_symmetry_equiv_pos_as_xyz
'x,y,z'
'-y,x-y,z'
'-x+y,-x,z'
'-y,-x,z'
'-x+y,y,z'
'x,x-y,z'
loop_
_atom_site_label
_atom_site_fract_x
_atom_site_fract_y
_atom_site_fract_z
In1 0.0000 0.0000 0.0000
Mo1 0.6667 0.3333 0.3814
W1 0.3333 0.6667 0.6162


[7]
# InMo2W PBE optimized geometry
# crystal system	monoclinic
data_InMo2W
_cell_length_a 5.675
_cell_length_b 9.108
_cell_length_c 2.784
_cell_angle_alpha 90.00
_cell_angle_beta 109.01
_cell_angle_gamma 90.00
_symmetry_space_group_name_H-M 'C 1 2/m 1'
_symmetry_Int_Tables_number 12
loop_
_symmetry_equiv_pos_as_xyz
'x,y,z'
'-x,-y,-z'
'-x,y,-z'
'x,-y,z'
'x+1/2,y+1/2,z'
'-x+1/2,-y+1/2,-z'
'-x+1/2,y+1/2,-z'
'x+1/2,-y+1/2,z'
loop_
_atom_site_label
_atom_site_fract_x
_atom_site_fract_y
_atom_site_fract_z
In1 0.000 0.000 0.000
Mo1 0.250 0.250 0.500
W1 0.000 0.500 0.000


[8]
# InMo3W PBE optimized geometry
# energy above the most stable polymorph in this dataset	1.157	eV/atom
# crystal system	cubic
data_InMo3W
_cell_length_a 4.765
_cell_length_b 4.765
_cell_length_c 4.765
_cell_angle_alpha 90.00
_cell_angle_beta 90.00
_cell_angle_gamma 90.00
_symmetry_space_group_name_H-M 'P m -3 m'
_symmetry_Int_Tables_number 221
_symmetry_space_group_name_Hall '-P 4 2 3'
loop_
_atom_site_label
_atom_site_fract_x
_atom_site_fract_y
_atom_site_fract_z
In1 0.000 0.000 0.000
Mo1 0.000 0.000 0.500
W1 0.500 0.500 0.500


Number 1: total magnetic moment 3.68 μB/cell, energy relative to the elements 1.46 eV/atom. Number 2: total magnetic moment 0.00 μB/cell, energy relative to the elements 0.32 eV/atom. Number 3: total magnetic moment 0.00 μB/cell, energy relative to the elements 0.98 eV/atom. Number 4: total magnetic moment 0.00 μB/cell, energy relative to the elements 0.94 eV/atom. Number 5: total magnetic moment 0.00 μB/cell, energy relative to the elements 0.37 eV/atom. Number 6: total magnetic moment 0.00 μB/cell, energy relative to the elements 0.38 eV/atom. Number 7: total magnetic moment 0.00 μB/cell, energy relative to the elements 0.39 eV/atom. Number 8: total magnetic moment 0.00 μB/cell, energy relative to the elements 2.76 eV/atom.